No. 1
This record from the Alexandria database describes a relaxed structure of Tm2CuPd8. The functional is GGA-PBE.

```
data_Tm2CuPd8
_chemical_formula_sum 'Tm4 Cu2 Pd16'
_space_group_name_H-M_alt 'C 1 2/m 1'
_space_group_IT_number 12
_cell_length_a 14.445
_cell_length_b 4.306
_cell_length_c 6.213
_cell_angle_alpha 90.00
_cell_angle_beta 106.14
_cell_angle_gamma 90.00
loop_
_space_group_symop_operation_xyz
'x,y,z'
'-x,-y,-z'
'-x,y,-z'
'x,-y,z'
'x+1/2,y+1/2,z'
'-x+1/2,-y+1/2,-z'
'-x+1/2,y+1/2,-z'
'x+1/2,-y+1/2,z'
loop_
_atom_site_label
_atom_site_fract_x
_atom_site_fract_y
_atom_site_fract_z
_atom_site_occupancy
Tm1 0.210 0.000 0.169 1
Cu1 0.000 0.500 0.500 1
Pd1 0.029 0.000 0.236 1
Pd2 0.093 0.500 0.930 1
Pd3 0.151 0.000 0.683 1
Pd4 0.160 0.500 0.400 1
```

Properties
Density of states at the Fermi level, states/eV per atom: 0.272


No. 2
This record from the Alexandria database describes a relaxed structure of Tm4Cu3Pd. The functional is GGA-PBE.

```
data_Tm4Cu3Pd
_chemical_formula_sum 'Tm4 Cu3 Pd1'
_space_group_name_H-M_alt 'P m m 2'
_space_group_IT_number 25
_cell_length_a 3.667
_cell_length_b 4.451
_cell_length_c 10.265
_cell_angle_alpha 90.00
_cell_angle_beta 90.00
_cell_angle_gamma 90.00
loop_
_space_group_symop_operation_xyz
'x,y,z'
'-x,-y,z'
'-x,y,z'
'x,-y,z'
loop_
_atom_site_label
_atom_site_fract_x
_atom_site_fract_y
_atom_site_fract_z
_atom_site_occupancy
Tm1 0.000 0.000 0.000 1
Tm2 0.000 0.500 0.279 1
Tm3 0.500 0.000 0.498 1
Tm4 0.500 0.500 0.778 1
Cu1 0.000 0.500 0.559 1
Cu2 0.500 0.000 0.212 1
Cu3 0.500 0.500 0.066 1
Pd1 0.000 0.000 0.719 1
```

Properties
Density of states at the Fermi level, states/eV per atom: 0.510


No. 3
This record from the Alexandria database describes a relaxed structure of TmCu2Pd6. The functional is GGA-PBE.

```
data_TmCu2Pd6
_chemical_formula_sum 'Tm4 Cu8 Pd24'
_space_group_name_H-M_alt 'I m m m'
_space_group_IT_number 71
_space_group_name_Hall '-I 2 2'
_cell_length_a 7.894
_cell_length_b 8.199
_cell_length_c 8.934
_cell_angle_alpha 90.00
_cell_angle_beta 90.00
_cell_angle_gamma 90.00
loop_
_atom_site_label
_atom_site_fract_x
_atom_site_fract_y
_atom_site_fract_z
_atom_site_occupancy
Tm1 0.000 0.000 0.000 1
Tm2 0.000 0.000 0.500 1
Cu1 0.000 0.359 0.000 1
Cu2 0.000 0.500 0.373 1
Pd1 0.000 0.214 0.249 1
Pd2 0.213 0.295 0.500 1
Pd3 0.226 0.500 0.185 1
```

Properties
Density of states at the Fermi level, states/eV per atom: 0.506


No. 4
This record from the Alexandria database describes a relaxed structure of Tm6CuPd2. The functional is GGA-PBE.

```
data_Tm6CuPd2
_chemical_formula_sum 'Tm12 Cu2 Pd4'
_space_group_name_H-M_alt 'P 1 21/c 1'
_space_group_IT_number 14
_cell_length_a 6.620
_cell_length_b 7.215
_cell_length_c 11.109
_cell_angle_alpha 90.00
_cell_angle_beta 120.91
_cell_angle_gamma 90.00
loop_
_space_group_symop_operation_xyz
'x,y,z'
'-x,-y,-z'
'-x,y+1/2,-z+1/2'
'x,-y+1/2,z+1/2'
loop_
_atom_site_label
_atom_site_fract_x
_atom_site_fract_y
_atom_site_fract_z
_atom_site_occupancy
Tm1 0.083 0.037 0.243 1
Tm2 0.214 0.682 0.069 1
Tm3 0.380 0.171 0.061 1
Cu1 0.500 0.000 0.500 1
Pd1 0.319 0.121 0.762 1
```

Properties
Density of states at the Fermi level, states/eV per atom: 1.196
Energy relative to the lowest polymorph listed for this composition, kJ/mol of atoms: 5.27


No. 5
This record from the Alexandria database describes a relaxed structure of Tm2CuPd5. The functional is GGA-PBE.

```
data_Tm2CuPd5
_chemical_formula_sum 'Tm8 Cu4 Pd20'
_space_group_name_H-M_alt 'C m c m'
_space_group_IT_number 63
_space_group_name_Hall '-C 2c 2'
_cell_length_a 4.036
_cell_length_b 17.084
_cell_length_c 10.776
_cell_angle_alpha 90.00
_cell_angle_beta 90.00
_cell_angle_gamma 90.00
loop_
_atom_site_label
_atom_site_fract_x
_atom_site_fract_y
_atom_site_fract_z
_atom_site_occupancy
Tm1 0.000 0.128 0.065 1
Cu1 0.000 0.151 0.750 1
Pd1 0.000 0.024 0.626 1
Pd2 0.000 0.246 0.250 1
Pd3 0.000 0.261 0.587 1
```

Properties
Density of states at the Fermi level, states/eV per atom: 0.556


No. 6
This record from the Alexandria database describes a relaxed structure of TmCu4Pd7. The functional is GGA-PBE.

```
data_TmCu4Pd7
_chemical_formula_sum 'Tm2 Cu8 Pd14'
_space_group_name_H-M_alt 'C 1 2/m 1'
_space_group_IT_number 12
_cell_length_a 12.161
_cell_length_b 4.846
_cell_length_c 7.772
_cell_angle_alpha 90.00
_cell_angle_beta 123.48
_cell_angle_gamma 90.00
loop_
_space_group_symop_operation_xyz
'x,y,z'
'-x,-y,-z'
'-x,y,-z'
'x,-y,z'
'x+1/2,y+1/2,z'
'-x+1/2,-y+1/2,-z'
'-x+1/2,y+1/2,-z'
'x+1/2,-y+1/2,z'
loop_
_atom_site_label
_atom_site_fract_x
_atom_site_fract_y
_atom_site_fract_z
_atom_site_occupancy
Tm1 0.000 0.000 0.000 1
Cu1 0.029 0.500 0.696 1
Cu2 0.192 0.500 0.358 1
Pd1 0.000 0.500 0.000 1
Pd2 0.067 0.000 0.407 1
Pd3 0.225 0.000 0.892 1
Pd4 0.234 0.500 0.706 1
```

Properties
Density of states at the Fermi level, states/eV per atom: 0.297


Taking the records one at a time from the top gives DFT formation energy values of -6.044, -3.709, -2.794, -3.681, -1.028, -1.232 eV/f.u..